--- i ---
The following is a PBE calculation of crystalline PrTmRu at its relaxed geometry, from Alexandria via LeMat-Bulk.

Calculated values
- Space-group type: P4_2/m

POSCAR file:
```
PrTmRu
1.0
4.3330 0.0000 0.0000
0.0000 8.5669 0.0000
0.0000 0.0000 8.5669
Pr Tm Ru
4 4 4
Direct
0.5000 0.7836 0.5580
0.0000 0.4420 0.7836
0.0000 0.5580 0.2164
0.5000 0.2164 0.4420
0.5000 0.8763 0.1676
0.5000 0.1237 0.8324
0.0000 0.1676 0.1237
0.0000 0.8324 0.8763
0.5000 0.3689 0.0848
0.0000 0.9152 0.3689
0.0000 0.0848 0.6311
0.5000 0.6311 0.9152
```

***

--- ii ---
The following is a PBE calculation of crystalline PrTmRu at its relaxed geometry, from Alexandria via LeMat-Bulk.

Calculated values
- Space-group type: P4/nmm

POSCAR file:
```
PrTmRu
1.0
-3.0528 -2.6495 -2.2331
1.5539 -3.7064 2.2740
-4.7758 1.1577 5.1524
Pr Tm Ru
2 2 2
Direct
0.8135 0.8664 0.5439
0.3136 0.3665 0.2953
0.8136 0.3665 0.9196
0.3136 0.8665 0.9196
0.8134 0.8664 0.1562
0.3138 0.3666 0.6830
```

***

Ranked by calculated energy, most stable first: ii, i.

***

--- i ---
The following is a PBE calculation of crystalline PrTmRu at its relaxed geometry, from Alexandria via LeMat-Bulk.

Calculated values
- Space-group type: F-43m

POSCAR file:
```
PrTmRu
1.0
-1.4476 -2.0807 4.1288
-0.6846 -4.7925 0.1872
3.0641 -2.7884 2.5115
Pr Ru Tm
1 1 1
Direct
0.5000 0.5000 0.5000
0.2500 0.2500 0.2500
0.0000 0.0000 0.0000
```

***

--- ii ---
The following is a PBE calculation of crystalline PrTmRu at its relaxed geometry, from Alexandria via LeMat-Bulk.

Calculated values
- Space-group type: I4mm

POSCAR file:
```
PrTmRu
1.0
-2.4152 -1.2940 -2.0796
0.6561 -3.1557 1.2016
-3.6552 3.0838 5.1711
Pr Ru Tm
1 1 1
Direct
0.0363 0.0363 0.0726
0.6738 0.6738 0.3475
0.2899 0.2899 0.5799
```

***

Ranked by calculated energy, most stable first: ii, i.